Record 1
# PBE RbCrP, optimized geometry
# distance to the lowest polymorph of the same formula	137.2	meV per atom
# crystal system	triclinic
# ΔH_f (0 K)	-0.41	eV/f.u.
data_RbCrP
_cell_length_a 3.9702
_cell_length_b 3.9705
_cell_length_c 12.3233
_cell_angle_alpha 90.15
_cell_angle_beta 98.03
_cell_angle_gamma 119.99
_space_group_name_H-M_alt 'P 1'
_space_group_IT_number 1
loop_
_space_group_symop_operation_xyz
'x,y,z'
loop_
_atom_site_label
_atom_site_fract_x
_atom_site_fract_y
_atom_site_fract_z
Rb1 0.0000 0.0000 0.0000
Rb2 0.3065 0.1485 0.3838
Cr1 0.1899 0.5934 0.7553
Cr2 0.8072 0.9013 0.6706
P1 0.0824 0.5381 0.5711
P2 0.5396 0.2683 0.7833

---

Record 2
# PBE Tb5Ho2ThMg, optimized geometry
# crystal system	orthorhombic
# ΔH_f (0 K)	1.05	eV/f.u.
data_Tb5Ho2ThMg
_cell_length_a 5.4801
_cell_length_b 19.9853
_cell_length_c 10.4012
_cell_angle_alpha 90.00
_cell_angle_beta 90.00
_cell_angle_gamma 90.00
_space_group_name_H-M_alt 'C m c 21'
_space_group_IT_number 36
loop_
_space_group_symop_operation_xyz
'x,y,z'
'-x,-y,z+1/2'
'-x,y,z'
'x,-y,z+1/2'
'x+1/2,y+1/2,z'
'-x+1/2,-y+1/2,z+1/2'
'-x+1/2,y+1/2,z'
'x+1/2,-y+1/2,z+1/2'
loop_
_atom_site_label
_atom_site_fract_x
_atom_site_fract_y
_atom_site_fract_z
Tb1 0.0000 0.0002 0.0000
Tb2 0.0000 0.1216 0.2504
Tb3 0.0000 0.2141 0.9487
Tb4 0.0000 0.2146 0.5523
Tb5 0.0000 0.4864 0.2504
Ho1 0.0000 0.3857 0.5376
Ho2 0.0000 0.3855 0.9632
Th1 0.0000 0.3019 0.2505
Mg1 0.0000 0.0963 0.7496

---

Record 3
# PBE Sm4Ga2Ag, optimized geometry
# distance to the lowest polymorph of the same formula	0.0	meV per atom
# crystal system	trigonal
# ΔH_f (0 K)	-2.41	eV/f.u.
data_Sm4Ga2Ag
_cell_length_a 5.1571
_cell_length_b 5.1571
_cell_length_c 24.8377
_cell_angle_alpha 90.00
_cell_angle_beta 90.00
_cell_angle_gamma 120.00
_space_group_name_H-M_alt 'R -3 m'
_space_group_IT_number 166
_space_group_name_Hall '-R 3 2"'
loop_
_atom_site_label
_atom_site_fract_x
_atom_site_fract_y
_atom_site_fract_z
Sm1 0.0000 0.0000 0.1194
Sm2 0.0000 0.0000 0.3710
Ga1 0.0000 0.0000 0.2488
Ag1 0.0000 0.0000 0.5000

---

Record 4
# PBE AsAuBr2, optimized geometry
# distance to the lowest polymorph of the same formula	814.9	meV per atom
# E_form (uncorrected)	0.5953	eV per atom
# crystal system	cubic
data_AsAuBr2
_cell_length_a 7.1164
_cell_length_b 7.1164
_cell_length_c 7.1164
_cell_angle_alpha 90.00
_cell_angle_beta 90.00
_cell_angle_gamma 90.00
_space_group_name_H-M_alt 'F m -3 m'
_space_group_IT_number 225
_space_group_name_Hall '-F 4 2 3'
loop_
_atom_site_label
_atom_site_fract_x
_atom_site_fract_y
_atom_site_fract_z
As1 0.0000 0.0000 0.0000
Au1 0.0000 0.0000 0.5000
Br1 0.2500 0.2500 0.2500

---

Record 5
# PBE TbEuPd2, optimized geometry
# crystal system	tetragonal
# ΔH_f (0 K)	-3.18	eV/f.u.
data_TbEuPd2
_cell_length_a 3.5597
_cell_length_b 3.5597
_cell_length_c 7.2445
_cell_angle_alpha 90.00
_cell_angle_beta 90.00
_cell_angle_gamma 90.00
_space_group_name_H-M_alt 'P 4/m m m'
_space_group_IT_number 123
_space_group_name_Hall '-P 4 2'
loop_
_atom_site_label
_atom_site_fract_x
_atom_site_fract_y
_atom_site_fract_z
Tb1 0.0000 0.0000 0.0000
Eu1 0.0000 0.0000 0.5000
Pd1 0.5000 0.5000 0.2213

---

Record 6
# PBE La2TcCF, optimized geometry
# E_form (uncorrected)	0.3066	eV per atom
# crystal system	tetragonal
data_La2TcCF
_cell_length_a 5.2356
_cell_length_b 5.2356
_cell_length_c 4.1246
_cell_angle_alpha 90.00
_cell_angle_beta 90.00
_cell_angle_gamma 90.00
_space_group_name_H-M_alt 'P 4/m m m'
_space_group_IT_number 123
_space_group_name_Hall '-P 4 2'
loop_
_atom_site_label
_atom_site_fract_x
_atom_site_fract_y
_atom_site_fract_z
La1 0.0000 0.5000 0.0000
Tc1 0.0000 0.0000 0.0000
C1 0.5000 0.5000 0.5000
F1 0.0000 0.0000 0.5000

---

Record 7
# PBE Ba3HoPa2N6, optimized geometry
# E_form (uncorrected)	-1.2547	eV per atom
# crystal system	monoclinic
data_Ba3HoPa2N6
_cell_length_a 6.2877
_cell_length_b 10.8814
_cell_length_c 6.7779
_cell_angle_alpha 90.00
_cell_angle_beta 108.00
_cell_angle_gamma 90.00
_space_group_name_H-M_alt 'C 1 2/m 1'
_space_group_IT_number 12
loop_
_space_group_symop_operation_xyz
'x,y,z'
'-x,-y,-z'
'-x,y,-z'
'x,-y,z'
'x+1/2,y+1/2,z'
'-x+1/2,-y+1/2,-z'
'-x+1/2,y+1/2,-z'
'x+1/2,-y+1/2,z'
loop_
_atom_site_label
_atom_site_fract_x
_atom_site_fract_y
_atom_site_fract_z
Ba1 0.0000 0.0000 0.0000
Ba2 0.0000 0.3378 0.0000
Ho1 0.0000 0.5000 0.5000
Pa1 0.0000 0.1668 0.5000
N1 0.2099 0.0000 0.6774
N2 0.2348 0.3251 0.6809

---

Record 8
# PBE YTe2Pt, optimized geometry
# distance to the lowest polymorph of the same formula	365.0	meV per atom
# E_form (uncorrected)	-0.5606	eV per atom
# crystal system	orthorhombic
data_YTe2Pt
_cell_length_a 6.0553
_cell_length_b 7.2823
_cell_length_c 9.5681
_cell_angle_alpha 90.00
_cell_angle_beta 90.00
_cell_angle_gamma 90.00
_space_group_name_H-M_alt 'F m m m'
_space_group_IT_number 69
_space_group_name_Hall '-F 2 2'
loop_
_atom_site_label
_atom_site_fract_x
_atom_site_fract_y
_atom_site_fract_z
Y1 0.0000 0.0000 0.0000
Te1 0.0000 0.2500 0.2500
Pt1 0.0000 0.0000 0.5000

---

Number 1: total DFT energy (no corrections) -5.47 eV/atom. Number 2: total DFT energy (no corrections) -4.47 eV/atom. Number 3: total DFT energy (no corrections) -4.31 eV/atom. Number 4: total DFT energy (no corrections) -2.22 eV/atom. Number 5: total DFT energy (no corrections) -7.12 eV/atom. Number 6: total DFT energy (no corrections) -5.96 eV/atom. Number 7: total DFT energy (no corrections) -7.86 eV/atom. Number 8: total DFT energy (no corrections) -5.26 eV/atom.